[1]
LiAlCd | PBEsol | relaxed

SG   No. 44
Energy relative to the lowest polymorph listed for this composition   0 meV/atom
DOS at the Fermi energy   0.76 states/eV per cell
Formation enthalpy at 0 K   -106.4 meV/atom

a b c (Å): 4.9172 4.9172 4.9172
angles (deg): 144.78 129.61 62.97
Positions (direct):
Li (0.0000, 0.0000, 0.0000)
Al (0.6657, 0.6657, 0.0000)
Cd (0.3328, 0.3328, 0.0000)


[2]
K2YRh | PBEsol | relaxed

SG   No. 225
Energy relative to the lowest polymorph listed for this composition   1009 meV/atom
DOS at the Fermi energy   2.44 states/eV per cell
Formation enthalpy at 0 K   1027.1 meV/atom

a b c (Å): 5.3806 5.3806 5.3806
angles (deg): 60.00 60.00 60.00
Positions (direct):
K (0.2500, 0.2500, 0.2500)
K (0.7500, 0.7500, 0.7500)
Y (0.0000, 0.0000, 0.0000)
Rh (0.5000, 0.5000, 0.5000)


[3]
Sb4O5F2 | PBEsol | relaxed

SG   No. 4
Energy relative to the lowest polymorph listed for this composition   0 meV/atom
DOS at the Fermi energy   0.00 states/eV per cell

a b c (Å): 10.7560 5.3648 13.7479
angles (deg): 90.00 102.39 90.00
Positions (direct):
Sb (0.0709, 0.0000, 0.2023)
Sb (0.0788, 0.9813, 0.9328)
Sb (0.1872, 0.6757, 0.6652)
Sb (0.2514, 0.5883, 0.4044)
Sb (0.3083, 0.5740, 0.1300)
Sb (0.3368, 0.1761, 0.8209)
Sb (0.3859, 0.0858, 0.5395)
Sb (0.4252, 0.0869, 0.2735)
Sb (0.5748, 0.5869, 0.7265)
Sb (0.6141, 0.5858, 0.4605)
Sb (0.6632, 0.6761, 0.1791)
Sb (0.6917, 0.0740, 0.8700)
Sb (0.7486, 0.0883, 0.5956)
Sb (0.8128, 0.1757, 0.3348)
Sb (0.9212, 0.4813, 0.0672)
Sb (0.9291, 0.5000, 0.7977)
O (0.0368, 0.7895, 0.0781)
O (0.0820, 0.2924, 0.1153)
O (0.2634, 0.9062, 0.1990)
O (0.2674, 0.7363, 0.5476)
O (0.2783, 0.3563, 0.6949)
O (0.3080, 0.4032, 0.2590)
O (0.3297, 0.8557, 0.7504)
O (0.3566, 0.9152, 0.4023)
O (0.4168, 0.4088, 0.4571)
O (0.4813, 0.7299, 0.1884)
O (0.5187, 0.2299, 0.8116)
O (0.5832, 0.9088, 0.5429)
O (0.6434, 0.4152, 0.5977)
O (0.6703, 0.3557, 0.2496)
O (0.6920, 0.9032, 0.7410)
O (0.7217, 0.8563, 0.3051)
O (0.7326, 0.2363, 0.4524)
O (0.7366, 0.4062, 0.8010)
O (0.9180, 0.7924, 0.8847)
O (0.9632, 0.2895, 0.9219)
F (0.0745, 0.0818, 0.7849)
F (0.1334, 0.6015, 0.8504)
F (0.1990, 0.2325, 0.4799)
F (0.4211, 0.2329, 0.1220)
F (0.5789, 0.7329, 0.8780)
F (0.8010, 0.7325, 0.5201)
F (0.8666, 0.1015, 0.1496)
F (0.9255, 0.5818, 0.2151)


[4]
Cr2W | PBEsol | relaxed

SG   No. 63
Energy relative to the lowest polymorph listed for this composition   32 meV/atom
DOS at the Fermi energy   3.63 states/eV per cell
Formation enthalpy at 0 K   93.4 meV/atom

a b c (Å): 6.5839 6.5839 2.9560
angles (deg): 90.00 90.00 143.20
Positions (direct):
Cr (0.0859, 0.9141, 0.7500)
Cr (0.2469, 0.7531, 0.2500)
Cr (0.7531, 0.2469, 0.7500)
Cr (0.9141, 0.0859, 0.2500)
W (0.4112, 0.5888, 0.7500)
W (0.5888, 0.4112, 0.2500)


[5]
TaGe3N | PBEsol | relaxed

SG   No. 221
DOS at the Fermi energy   2.60 states/eV per cell
E_tot   -6.566 eV/atom

a b c (Å): 4.1859 4.1859 4.1859
angles (deg): 90.00 90.00 90.00
Positions (direct):
Ta (0.0000, 0.0000, 0.0000)
Ge (0.0000, 0.5000, 0.5000)
Ge (0.5000, 0.0000, 0.5000)
Ge (0.5000, 0.5000, 0.0000)
N (0.5000, 0.5000, 0.5000)


[6]
TaSbIr2 | PBEsol | relaxed

SG   No. 8
DOS at the Fermi energy   2.79 states/eV per cell
E_tot   -9.272 eV/atom

a b c (Å): 4.9372 4.9372 4.7664
angles (deg): 96.54 96.54 35.21
Positions (direct):
Ta (0.0000, 0.0000, 0.0000)
Sb (0.7700, 0.7700, 0.3309)
Ir (0.2628, 0.2628, 0.8170)
Ir (0.5221, 0.5221, 0.5290)


[7]
Tl2W | PBEsol | relaxed

SG   No. 123
DOS at the Fermi energy   1.65 states/eV per cell
Formation enthalpy at 0 K   750.0 meV/atom

a b c (Å): 4.9389 4.9389 2.9090
angles (deg): 90.00 90.00 90.00
Positions (direct):
Tl (0.0000, 0.5000, 0.0000)
Tl (0.5000, 0.0000, 0.0000)
W (0.0000, 0.0000, 0.5000)


[8]
KSb4F13 | PBEsol | relaxed

SG   No. 87
Energy relative to the lowest polymorph listed for this composition   77 meV/atom
DOS at the Fermi energy   0.00 states/eV per cell

a b c (Å): 7.5113 7.5113 7.5113
angles (deg): 98.10 98.10 135.91
Positions (direct):
K (0.0000, 0.0000, 0.0000)
Sb (0.2274, 0.4922, 0.7196)
Sb (0.4922, 0.7726, 0.2649)
Sb (0.5078, 0.2274, 0.7351)
Sb (0.7726, 0.5078, 0.2804)
F (0.0523, 0.3679, 0.9116)
F (0.0682, 0.6177, 0.6859)
F (0.1407, 0.0523, 0.6844)
F (0.3679, 0.4563, 0.3156)
F (0.3823, 0.0682, 0.4505)
F (0.4563, 0.1407, 0.0884)
F (0.5000, 0.5000, 0.0000)
F (0.5437, 0.8593, 0.9116)
F (0.6177, 0.9318, 0.5495)
F (0.6321, 0.5437, 0.6844)
F (0.8593, 0.9477, 0.3156)
F (0.9318, 0.3823, 0.3141)
F (0.9477, 0.6321, 0.0884)


[9]
Li2YGe2 | PBEsol | relaxed

SG   No. 139
DOS at the Fermi energy   1.18 states/eV per cell
Formation enthalpy at 0 K   -615.8 meV/atom

a b c (Å): 6.3385 6.3385 6.3385
angles (deg): 143.34 143.34 52.82
Positions (direct):
Li (0.2500, 0.7500, 0.5000)
Li (0.7500, 0.2500, 0.5000)
Y (0.0000, 0.0000, 0.0000)
Ge (0.3930, 0.3930, 0.0000)
Ge (0.6070, 0.6070, 0.0000)


[10]
MgBiI2N | PBEsol | relaxed

SG   No. 123
Energy relative to the lowest polymorph listed for this composition   0 meV/atom
DOS at the Fermi energy   3.06 states/eV per cell

a b c (Å): 5.7810 5.7810 3.9683
angles (deg): 90.00 90.00 90.00
Positions (direct):
Mg (0.0000, 0.0000, 0.0000)
Bi (0.5000, 0.5000, 0.5000)
I (0.0000, 0.5000, 0.0000)
I (0.5000, 0.0000, 0.0000)
N (0.0000, 0.0000, 0.5000)


[11]
TaIr3 | PBEsol | relaxed

SG   No. 221
DOS at the Fermi energy   8.95 states/eV per cell
Formation enthalpy at 0 K   2478.1 meV/atom

a b c (Å): 4.7500 4.7500 4.7500
angles (deg): 90.00 90.00 90.00
Positions (direct):
Ta (0.0000, 0.0000, 0.0000)
Ir (0.0000, 0.0000, 0.5000)
Ir (0.0000, 0.5000, 0.0000)
Ir (0.5000, 0.0000, 0.0000)


[12]
Mg2MnI | PBEsol | relaxed

SG   No. 225
DOS at the Fermi energy   2.80 states/eV per cell
E_tot   -3.156 eV/atom

a b c (Å): 5.1119 5.1119 5.1119
angles (deg): 60.00 60.00 60.00
Positions (direct):
Mg (0.2500, 0.2500, 0.2500)
Mg (0.7500, 0.7500, 0.7500)
Mn (0.0000, 0.0000, 0.0000)
I (0.5000, 0.5000, 0.5000)


[13]
ScCdRu2 | PBEsol | relaxed

SG   No. 47
DOS at the Fermi energy   4.25 states/eV per cell
Formation enthalpy at 0 K   100.5 meV/atom

a b c (Å): 3.1853 4.2872 4.6726
angles (deg): 90.00 90.00 90.00
Positions (direct):
Sc (0.0000, 0.0000, 0.0000)
Cd (0.5000, 0.0000, 0.5000)
Ru (0.0000, 0.5000, 0.5000)
Ru (0.5000, 0.5000, 0.0000)


[14]
LaBN2 | PBEsol | relaxed

SG   No. 2
DOS at the Fermi energy   0.00 states/eV per cell
E_tot   -8.862 eV/atom

a b c (Å): 6.5534 6.8244 7.7541
angles (deg): 105.95 90.63 115.55
Positions (direct):
La (0.0289, 0.2798, 0.0777)
La (0.0393, 0.2854, 0.5615)
La (0.4439, 0.1665, 0.7988)
La (0.5561, 0.8335, 0.2012)
La (0.9607, 0.7146, 0.4385)
La (0.9711, 0.7202, 0.9223)
B (0.2328, 0.0782, 0.2741)
B (0.3980, 0.7229, 0.5139)
B (0.3987, 0.7097, 0.8277)
B (0.6013, 0.2903, 0.1723)
B (0.6020, 0.2771, 0.4861)
B (0.7672, 0.9218, 0.7259)
N (0.0155, 0.0185, 0.7515)
N (0.2602, 0.5857, 0.3391)
N (0.2658, 0.5491, 0.9198)
N (0.2707, 0.7181, 0.6721)
N (0.3525, 0.1366, 0.4570)
N (0.3544, 0.1288, 0.1196)
N (0.6456, 0.8712, 0.8804)
N (0.6475, 0.8634, 0.5430)
N (0.7293, 0.2819, 0.3279)
N (0.7342, 0.4509, 0.0802)
N (0.7398, 0.4143, 0.6609)
N (0.9845, 0.9815, 0.2485)


[15]
KMn2Tl | PBEsol | relaxed

SG   No. 99
Energy relative to the lowest polymorph listed for this composition   0 meV/atom
DOS at the Fermi energy   3.23 states/eV per cell
Formation enthalpy at 0 K   539.8 meV/atom

a b c (Å): 3.2085 3.2085 8.4286
angles (deg): 90.00 90.00 90.00
Positions (direct):
K (0.0000, 0.0000, 0.0000)
Mn (0.0000, 0.0000, 0.4343)
Mn (0.5000, 0.5000, 0.3301)
Tl (0.5000, 0.5000, 0.6736)


[16]
ZnCd | PBEsol | relaxed

SG   No. 123
DOS at the Fermi energy   0.53 states/eV per cell
Formation enthalpy at 0 K   90.5 meV/atom

a b c (Å): 2.9545 2.9545 4.0525
angles (deg): 90.00 90.00 90.00
Positions (direct):
Zn (0.0000, 0.0000, 0.0000)
Cd (0.5000, 0.5000, 0.5000)


[17]
Zn2NiIr | PBEsol | relaxed

SG   No. 123
DOS at the Fermi energy   1.64 states/eV per cell
Formation enthalpy at 0 K   -220.5 meV/atom

a b c (Å): 4.0689 4.0689 3.0425
angles (deg): 90.00 90.00 90.00
Positions (direct):
Zn (0.0000, 0.5000, 0.0000)
Zn (0.5000, 0.0000, 0.0000)
Ni (0.0000, 0.0000, 0.5000)
Ir (0.5000, 0.5000, 0.5000)


[18]
La2ZrCrPd | PBEsol | relaxed

SG   No. 123
DOS at the Fermi energy   5.33 states/eV per cell
Formation enthalpy at 0 K   916.0 meV/atom

a b c (Å): 5.5123 5.5123 4.5247
angles (deg): 90.00 90.00 90.00
Positions (direct):
La (0.0000, 0.5000, 0.0000)
La (0.5000, 0.0000, 0.0000)
Zr (0.0000, 0.0000, 0.0000)
Cr (0.0000, 0.0000, 0.5000)
Pd (0.5000, 0.5000, 0.5000)


[19]
Mg2NiBiO | PBEsol | relaxed

SG   No. 123
DOS at the Fermi energy   5.98 states/eV per cell
E_tot   -3.002 eV/atom

a b c (Å): 5.3594 5.3594 4.6688
angles (deg): 90.00 90.00 90.00
Positions (direct):
Mg (0.0000, 0.5000, 0.0000)
Mg (0.5000, 0.0000, 0.0000)
Ni (0.0000, 0.0000, 0.5000)
Bi (0.0000, 0.0000, 0.0000)
O (0.5000, 0.5000, 0.5000)


[20]
La3Er | PBEsol | relaxed

SG   No. 139
DOS at the Fermi energy   6.51 states/eV per cell
Formation enthalpy at 0 K   19.3 meV/atom

a b c (Å): 6.2229 6.2229 6.2229
angles (deg): 131.95 131.95 70.30
Positions (direct):
La (0.0000, 0.0000, 0.0000)
La (0.2500, 0.7500, 0.5000)
La (0.7500, 0.2500, 0.5000)
Er (0.5000, 0.5000, 0.0000)


[21]
CsSb | PBEsol | relaxed

SG   No. 14
E_tot   -3.211 eV/atom

a b c (Å): 15.1047 7.3367 14.1851
angles (deg): 90.00 113.23 90.00
Positions (direct):
Cs (0.1101, 0.1916, 0.4731)
Cs (0.1101, 0.3084, 0.9731)
Cs (0.1569, 0.5842, 0.6802)
Cs (0.1569, 0.9158, 0.1802)
Cs (0.3542, 0.6446, 0.0393)
Cs (0.3542, 0.8554, 0.5393)
Cs (0.3684, 0.1178, 0.8543)
Cs (0.3684, 0.3822, 0.3543)
Cs (0.6316, 0.6178, 0.6457)
Cs (0.6316, 0.8822, 0.1457)
Cs (0.6458, 0.1446, 0.4607)
Cs (0.6458, 0.3554, 0.9607)
Cs (0.8431, 0.0842, 0.8198)
Cs (0.8431, 0.4158, 0.3198)
Cs (0.8899, 0.6916, 0.0269)
Cs (0.8899, 0.8084, 0.5269)
Sb (0.0710, 0.6945, 0.3694)
Sb (0.0710, 0.8055, 0.8694)
Sb (0.0911, 0.0725, 0.7300)
Sb (0.0911, 0.4275, 0.2300)
Sb (0.4079, 0.1310, 0.1439)
Sb (0.4079, 0.3690, 0.6439)
Sb (0.4298, 0.6311, 0.8022)
Sb (0.4298, 0.8689, 0.3022)
Sb (0.5702, 0.1311, 0.6978)
Sb (0.5702, 0.3689, 0.1978)
Sb (0.5921, 0.6310, 0.3561)
Sb (0.5921, 0.8690, 0.8561)
Sb (0.9089, 0.5725, 0.7700)
Sb (0.9089, 0.9275, 0.2700)
Sb (0.9290, 0.1945, 0.1306)
Sb (0.9290, 0.3055, 0.6306)


[22]
Y3InPb | PBEsol | relaxed

SG   No. 221
DOS at the Fermi energy   4.56 states/eV per cell
Formation enthalpy at 0 K   161.4 meV/atom

a b c (Å): 5.6270 5.6270 5.6270
angles (deg): 90.00 90.00 90.00
Positions (direct):
Y (0.0000, 0.0000, 0.5000)
Y (0.0000, 0.5000, 0.0000)
Y (0.5000, 0.0000, 0.0000)
In (0.5000, 0.5000, 0.5000)
Pb (0.0000, 0.0000, 0.0000)


[23]
SrGaPbSe2 | PBEsol | relaxed

SG   No. 123
DOS at the Fermi energy   3.73 states/eV per cell
E_tot   -3.143 eV/atom

a b c (Å): 5.5361 5.5361 5.9122
angles (deg): 90.00 90.00 90.00
Positions (direct):
Sr (0.0000, 0.0000, 0.0000)
Ga (0.5000, 0.5000, 0.0000)
Pb (0.0000, 0.0000, 0.5000)
Se (0.0000, 0.5000, 0.5000)
Se (0.5000, 0.0000, 0.5000)